No. 1
DFT (PBE) results for a relaxed LiPr6Se8 crystal.

```
LiPr6Se8
1.0
4.417 2.550 6.008
-4.417 2.550 6.008
0.000 -5.100 6.008
Li Pr Se
1 6 8
direct
0.000 0.000 0.000
0.081 0.463 0.700
0.300 0.919 0.537
0.463 0.700 0.081
0.537 0.300 0.919
0.700 0.081 0.463
0.919 0.537 0.300
0.093 0.816 0.353
0.184 0.647 0.907
0.329 0.329 0.329
0.353 0.093 0.816
0.647 0.907 0.184
0.671 0.671 0.671
0.816 0.353 0.093
0.907 0.184 0.647
```

Computed properties:
SG: R-3
E_form (uncorrected): -170.8 kJ per mole of atoms

No. 2
DFT (PBE) results for a relaxed AlSi3Ni12 crystal.

```
AlSi3Ni12
1.0
3.519 0.000 0.000
0.000 3.519 0.000
0.000 0.000 14.079
Al Si Ni
1 3 12
direct
0.000 0.000 0.000
0.000 0.000 0.250
0.000 0.000 0.500
0.000 0.000 0.750
0.000 0.500 0.130
0.000 0.500 0.376
0.000 0.500 0.624
0.000 0.500 0.870
0.500 0.000 0.130
0.500 0.000 0.376
0.500 0.000 0.624
0.500 0.000 0.870
0.500 0.500 0.000
0.500 0.500 0.253
0.500 0.500 0.500
0.500 0.500 0.747
```

Computed properties:
SG: P4/mmm
E_form (uncorrected): -43.4 kJ per mole of atoms

No. 3
DFT (PBE) results for a relaxed Ce2GaSn3 crystal.

```
Ce2GaSn3
1.0
4.441 0.000 0.000
0.000 4.441 0.000
0.000 0.000 8.229
Ce Ga Sn
2 1 3
direct
0.000 0.500 0.196
0.500 0.000 0.804
0.000 0.000 0.500
0.000 0.500 0.813
0.500 0.000 0.187
0.500 0.500 0.500
```

Computed properties:
SG: P-4m2
formation energy: -380 meV per atom

No. 4
DFT (PBE) results for a relaxed Tb3PrNd2S6 crystal.

```
Tb3PrNd2S6
1.0
8.753 -1.987 0.000
8.753 1.987 0.000
-1.992 0.000 7.836
Tb Pr Nd S
3 1 2 6
direct
0.000 0.000 0.000
0.334 0.334 0.667
0.666 0.666 0.333
0.000 0.000 0.500
0.333 0.333 0.167
0.667 0.667 0.833
0.164 0.164 0.091
0.170 0.170 0.576
0.497 0.497 0.760
0.503 0.503 0.240
0.830 0.830 0.424
0.836 0.836 0.909
```

Computed properties:
SG: C2/m
E_form (uncorrected): -195.0 kJ per mole of atoms

No. 5
DFT (PBE) results for a relaxed AlZn2 crystal.

```
AlZn2
1.0
6.263 0.000 0.000
0.000 6.263 0.000
0.000 0.000 6.263
Al Zn
4 8
direct
0.000 0.000 0.000
0.000 0.500 0.500
0.500 0.000 0.500
0.500 0.500 0.000
0.129 0.629 0.871
0.129 0.871 0.371
0.371 0.129 0.871
0.371 0.371 0.371
0.629 0.629 0.629
0.629 0.871 0.129
0.871 0.129 0.629
0.871 0.371 0.129
```

Computed properties:
SG: Pa-3
formation energy: 357 meV per atom

no.,total magnetic moment (μB per formula unit),total DFT energy (no corrections) (eV per atom)
1,0.0,-5.67
2,0.0,-6.04
3,1.0,-4.86
4,0.0,-6.43
5,0.0,-1.74